Entry from Alexandria via LeMat-Bulk: a PBEsol-optimized structure of Ba3MnP (meta-GGA SCAN).

Structure (POSCAR):
```
Ba3MnP
1.0
-1.6712 -0.4310 5.9027
-4.9402 -3.2760 -1.6379
3.2592 -5.1868 0.5440
Ba P Mn
3 1 1
direct
0.0000 0.5000 0.0000
0.5000 0.0000 0.0000
0.0000 0.0000 0.5000
0.0000 0.0000 0.0000
0.5000 0.5000 0.5000
```

Summary:
The total energy is -148.66 eV per cell. Its density of states at the Fermi level is 5.37 states/eV per cell. The formation energy is -0.270 eV per atom.

---

Entry from Alexandria via LeMat-Bulk: a PBEsol-optimized structure of CrHg3 (meta-GGA SCAN).

Structure (POSCAR):
```
CrHg3
1.0
4.8090 0.0000 0.0000
2.4045 4.1647 0.0000
2.4045 1.3882 3.9265
Hg Cr
3 1
direct
0.7500 0.7500 0.7500
0.2500 0.2500 0.2500
0.5000 0.5000 0.5000
0.0000 0.0000 0.0000
```

Summary:
The total energy is -222.06 eV per cell. Its density of states at the Fermi level is 1.94 states/eV per cell. The formation energy is 0.207 eV per atom.

---

Entry from Alexandria via LeMat-Bulk: a PBEsol-optimized structure of In2SbSe (meta-GGA SCAN).

Structure (POSCAR):
```
In2SbSe
1.0
-3.8190 -0.1042 -1.7252
-0.8947 -3.4608 2.1896
-2.0687 3.3057 4.3797
Sb Se In
1 1 2
direct
0.0000 0.0000 0.3747
0.5000 0.5000 0.8750
0.0000 0.0000 0.8747
0.5000 0.5000 0.3756
```

Summary:
As for the relative energy among the computed polymorphs: 0 meV/atom. The total energy is -125.26 eV per cell. As for the formation energy from raw total energies: -1.15 eV/f.u. Its density of states at the Fermi level is 1.20 states/eV per cell.

---

density of states at the Fermi level of number 1 (Ba3MnP)?
5.37 states/eV per cell

---

Please write out number 2 again, unchanged.
Entry from Alexandria via LeMat-Bulk: a PBEsol-optimized structure of CrHg3 (meta-GGA SCAN).

Structure (POSCAR):
```
CrHg3
1.0
4.8090 0.0000 0.0000
2.4045 4.1647 0.0000
2.4045 1.3882 3.9265
Hg Cr
3 1
direct
0.7500 0.7500 0.7500
0.2500 0.2500 0.2500
0.5000 0.5000 0.5000
0.0000 0.0000 0.0000
```

Summary:
The total energy is -222.06 eV per cell. Its density of states at the Fermi level is 1.94 states/eV per cell. The formation energy is 0.207 eV per atom.

---

Number 3 is which compound?
In2SbSe